Entry 1:
Material: AgBiAu3
Method: DFT, PBE
State: optimized geometry

Values from the calculation:
The space group is P6_3/mmc, No. 194. The formation energy comes out at 157 meV per atom. Its crystal system is hexagonal. The calculation puts the energy above the lowest structure with this stoichiometry at 132.0 meV per atom. For the magnetic moment, the calculation gives 0.000 μB/atom. For the final energy, the calculation gives -3.16 eV per atom.

POSCAR file:
```
AgBiAu3
1.0
6.853 0.000 0.000
-3.426 5.935 0.000
0.000 0.000 5.470
Ag Bi Au
2 2 6
Cartesian
0.000 0.000 0.000
0.000 0.000 2.735
0.000 3.957 1.368
3.426 1.978 4.103
0.000 2.356 4.103
-1.386 4.757 4.103
2.040 1.178 1.368
1.386 4.757 4.103
4.813 1.178 1.368
3.426 3.579 1.368
```



Entry 2:
Material: TbEuAlAu
Method: DFT, PBE
State: optimized geometry

Values from the calculation:
The space group is F-43m, No. 216. The formation energy comes out at -489 meV per atom. Its crystal system is cubic. For the magnetic moment, the calculation gives 1.702 μB/atom. For the final energy, the calculation gives -5.97 eV per atom.

POSCAR file:
```
TbEuAlAu
1.0
7.393 0.000 0.000
0.000 7.393 0.000
0.000 0.000 7.393
Tb Eu Al Au
4 4 4 4
Cartesian
0.000 0.000 0.000
0.000 3.696 3.696
3.696 0.000 3.696
3.696 3.696 0.000
0.000 0.000 3.696
0.000 3.696 0.000
3.696 0.000 0.000
3.696 3.696 3.696
1.848 1.848 1.848
1.848 5.545 5.545
5.545 1.848 5.545
5.545 5.545 1.848
1.848 1.848 5.545
1.848 5.545 1.848
5.545 1.848 1.848
5.545 5.545 5.545
```